Compound: Sr3SiS
Source: Alexandria
Functional: PBE
Structure: relaxed

Cell lengths 5.6013, 5.6013, 5.6013 Å; angles 90.00, 90.00, 90.00 degrees
With the nearest neighbours (Å) after each atom.
Space group Pm-3m (No. 221)
Asymmetric unit:
Sr: 0.0000 0.0000 0.5000  2 S 2.80
Si: 0.5000 0.5000 0.5000  12 Sr 3.96
S: 0.0000 0.0000 0.0000  6 Sr 2.80

Output
The value obtained for the total energy is -3.672 eV/atom. The value obtained for the uncorrected formation energy is -753 meV/atom. The value obtained for the density of states at the Fermi level is 0.0 states/eV per cell. As for the mass density: 3.05 g cm⁻³.

=====

Compound: SrSi3S
Source: Alexandria
Functional: PBE
Structure: relaxed

Cell lengths 5.6657, 5.6657, 5.6657 Å; angles 90.00, 90.00, 90.00 degrees
With the nearest neighbours (Å) after each atom.
Space group Pm-3m (No. 221)
Asymmetric unit:
Sr: 0.0000 0.0000 0.0000  6 Si 2.83
Si: 0.0000 0.0000 0.5000  2 Sr 2.83
S: 0.5000 0.5000 0.5000  12 Si 4.01

Output
The value obtained for the total energy is -2.438 eV/atom. The value obtained for the uncorrected formation energy is 1978 meV/atom. The value obtained for the density of states at the Fermi level is 5.7 states/eV per cell. As for the mass density: 1.86 g cm⁻³.

=====

Compound: SrSi3S
Source: Alexandria
Functional: PBE
Structure: relaxed

Cell lengths 4.8399, 4.8399, 4.8399 Å; angles 90.00, 90.00, 90.00 degrees
With the nearest neighbours (Å) after each atom.
Space group Pm-3m (No. 221)
Asymmetric unit:
Sr: 0.0000 0.0000 0.0000  12 Si 3.42
Si: 0.0000 0.5000 0.5000  2 S 2.42
S: 0.5000 0.5000 0.5000  6 Si 2.42

Output
The value obtained for the total energy is -4.064 eV/atom. The value obtained for the uncorrected formation energy is 351 meV/atom. The value obtained for the density of states at the Fermi level is 1.6 states/eV per cell. As for the mass density: 2.99 g cm⁻³.

=====

Compound: SrSiS2
Source: Alexandria
Functional: PBE
Structure: relaxed

Cell lengths 5.8904, 5.8904, 13.4828 Å; angles 90.00, 90.00, 90.00 degrees
With the nearest neighbours (Å) after each atom.
Space group I-42d (No. 122)
Asymmetric unit:
Sr: 0.0000 0.0000 0.0000  4 S 2.91
Si: 0.0000 0.0000 0.5000  4 S 2.49
S: 0.1838 0.2500 0.6250  2 Si 2.49

Output
The value obtained for the total energy is -4.601 eV/atom. The value obtained for the uncorrected formation energy is -761 meV/atom. The value obtained for the density of states at the Fermi level is 0.6 states/eV per cell. As for the mass density: 2.55 g cm⁻³.

=====

Compound: SrSiS
Source: Alexandria
Functional: PBE
Structure: relaxed

Cell lengths 8.8084, 5.8852, 6.0329 Å; angles 90.00, 90.00, 90.00 degrees
With the nearest neighbours (Å) after each atom.
Space group Amm2 (No. 38)
Asymmetric unit:
Sr: 0.2111 0.0000 0.0000  4 S 2.99-3.22, 1 Si 3.16
Si: 0.0000 0.0000 0.5288  2 S 2.61
Si: 0.5000 0.0000 0.6896  2 S 2.21
S: 0.2941 0.0000 0.4809  1 Si 2.21

Output
The value obtained for the total energy is -4.361 eV/atom. The value obtained for the uncorrected formation energy is -617 meV/atom. The value obtained for the density of states at the Fermi level is 6.2 states/eV per cell. As for the mass density: 3.14 g cm⁻³.

=====

Compound: SrSiS2
Source: Alexandria
Functional: PBE
Structure: relaxed

Cell lengths 4.4630, 4.4630, 22.6573 Å; angles 90.00, 90.00, 120.00 degrees
With the nearest neighbours (Å) after each atom.
Space group R-3m (No. 166, hexagonal axes)
Asymmetric unit:
Sr: 0.0000 0.0000 0.0000  6 S 3.00
Si: 0.0000 0.0000 0.5000  2 S 2.25
S: 0.0000 0.0000 0.4008  1 Si 2.25

Output
The value obtained for the total energy is -4.443 eV/atom. The value obtained for the uncorrected formation energy is -603 meV/atom. The value obtained for the density of states at the Fermi level is 0.5 states/eV per cell. As for the mass density: 2.29 g cm⁻³.

=====

Compound: SrTiSi2S8
Source: Alexandria
Functional: PBE
Structure: relaxed

Cell lengths 5.9205, 5.9205, 8.5795 Å; angles 90.00, 90.00, 120.00 degrees
With the nearest neighbours (Å) after each atom.
Space group P-3 (No. 147)
Asymmetric unit:
Sr: 0.0000 0.0000 0.0000  12 S 3.40-3.42
Ti: 0.0000 0.0000 0.5000  6 S 2.43
Si: 0.3333 0.6667 0.7390  4 S 2.12-2.14
S: 0.0148 0.6836 0.3271  1 Si 2.14
S: 0.3333 0.6667 0.9859  1 Si 2.12

Output
The value obtained for the total energy is -5.222 eV/atom. The value obtained for the uncorrected formation energy is -768 meV/atom. The value obtained for the density of states at the Fermi level is 12.7 states/eV per cell. As for the mass density: 2.86 g cm⁻³.

=====

Compound: SrTl2Si2S6
Source: Alexandria
Functional: PBE
Structure: relaxed

Cell lengths 7.0842, 7.0842, 23.9211 Å; angles 90.00, 90.00, 120.00 degrees
With the nearest neighbours (Å) after each atom.
Space group R-3m (No. 166, hexagonal axes)
Asymmetric unit:
Sr: 0.0000 0.0000 0.0000  6 S 2.98
Tl: 0.0000 0.0000 0.2080  9 S 3.48-3.64
Si: 0.0000 0.0000 0.4200  3 S 2.04
S: 0.0012 0.5006 0.2429  1 Si 2.04

Output
The value obtained for the total energy is -4.553 eV/atom. The value obtained for the uncorrected formation energy is -732 meV/atom. The value obtained for the density of states at the Fermi level is 0.0 states/eV per cell. As for the mass density: 3.57 g cm⁻³.

=====

Compound: SrTl2SiS4
Source: Alexandria
Functional: PBE
Structure: relaxed

Cell lengths 7.6151, 8.7621, 11.9399 Å; angles 90.00, 90.00, 90.00 degrees
With the nearest neighbours (Å) after each atom.
Space group Imma (No. 74)
Asymmetric unit:
Sr: 0.0000 0.0000 0.0000  6 S 2.96-3.01
Tl: 0.0000 0.0000 0.5000  6 S 3.02-3.06
Tl: 0.2500 0.2500 0.2500  6 S 3.33-3.70
Si: 0.2500 0.2500 0.7500  6 S 2.27-2.52
S: 0.0000 0.0622 0.7523  2 Si 2.52
S: 0.2431 0.2500 0.9399  1 Si 2.27

Output
The value obtained for the total energy is -4.185 eV/atom. The value obtained for the uncorrected formation energy is -642 meV/atom. The value obtained for the density of states at the Fermi level is 12.1 states/eV per cell. As for the mass density: 5.44 g cm⁻³.

=====

Compound: SrZrSi2S8
Source: Alexandria
Functional: PBE
Structure: relaxed

Cell lengths 6.0191, 6.0191, 8.8112 Å; angles 90.00, 90.00, 120.00 degrees
With the nearest neighbours (Å) after each atom.
Space group P-3 (No. 147)
Asymmetric unit:
Sr: 0.0000 0.0000 0.0000  12 S 3.44-3.48
Zr: 0.0000 0.0000 0.5000  6 S 2.57
Si: 0.3333 0.6667 0.7477  4 S 2.12-2.14
S: 0.0105 0.6734 0.3174  1 Si 2.14
S: 0.3333 0.6667 0.9881  1 Si 2.12

Output
The value obtained for the total energy is -5.329 eV/atom. The value obtained for the uncorrected formation energy is -821 meV/atom. The value obtained for the density of states at the Fermi level is 14.1 states/eV per cell. As for the mass density: 2.95 g cm⁻³.

=====

Compound: Ta2SiS
Source: Alexandria
Functional: PBE
Structure: relaxed

Cell lengths 6.2788, 6.2788, 6.2788 Å; angles 90.00, 90.00, 90.00 degrees
With the nearest neighbours (Å) after each atom.
Space group Fm-3m (No. 225)
Asymmetric unit:
Ta: 0.2500 0.2500 0.2500  4 S 2.72, 4 Si 2.72
Si: 0.0000 0.0000 0.0000  8 Ta 2.72
S: 0.0000 0.0000 0.5000  8 Ta 2.72

Output
The value obtained for the total energy is -8.584 eV/atom. The value obtained for the uncorrected formation energy is -270 meV/atom. The value obtained for the density of states at the Fermi level is 2.7 states/eV per cell. As for the mass density: 11.33 g cm⁻³.

=====

| no. | spin magnetization (μB/f.u.) | calculated volume (Å³/cell) |
| --- | --- | --- |
| 1 | 0.0 | 176 |
| 2 | 2.0 | 182 |
| 3 | 0.0 | 113 |
| 4 | 0.0 | 468 |
| 5 | 0.2 | 313 |
| 6 | 0.0 | 391 |
| 7 | 0.0 | 260 |
| 8 | 0.0 | 1040 |
| 9 | 0.0 | 797 |
| 10 | 0.3 | 276 |
| 11 | 0.0 | 248 |